(1)
The following is a DFT calculation (PBE-GGA) of a relaxed structure of CsZnTc.

Geometry as CIF:
```
data_CsZnTc
_space_group_name_H-M_alt 'P 1'
_space_group_IT_number 1
_space_group_name_Hall 'P 1'
_cell_length_a 4.3129
_cell_length_b 4.3137
_cell_length_c 12.9802
_cell_angle_alpha 91.84
_cell_angle_beta 97.09
_cell_angle_gamma 119.98
loop_
_atom_site_label
_atom_site_type_symbol
_atom_site_fract_x
_atom_site_fract_y
_atom_site_fract_z
_atom_site_occupancy
Cs1 Cs 0.0000 0.0000 0.0000 1
Cs2 Cs 0.3425 0.2287 0.6130 1
Zn1 Zn 0.7795 0.4094 0.2024 1
Zn2 Zn 0.8891 0.4831 0.3985 1
Tc1 Tc 0.1731 0.1166 0.3100 1
Tc2 Tc 0.4932 0.7744 0.2863 1
```

Computed properties:
Energy of formation from the pure elements (eV per atom): 0.330
Magnetization (μB/cell): 0.18
V (Å³/f.u.): 103.2
Energy above the most stable polymorph in this dataset (meV per atom): 19

=====

(2)
The following is a DFT calculation (PBE-GGA) of a relaxed structure of La2DyHg.

Geometry as CIF:
```
data_La2DyHg
_space_group_name_H-M_alt 'R 3 m'
_space_group_IT_number 160
_space_group_name_Hall 'R 3 -2"'
_cell_length_a 3.7362
_cell_length_b 3.7362
_cell_length_c 32.8082
_cell_angle_alpha 90.00
_cell_angle_beta 90.00
_cell_angle_gamma 120.00
loop_
_atom_site_label
_atom_site_type_symbol
_atom_site_fract_x
_atom_site_fract_y
_atom_site_fract_z
_atom_site_occupancy
La1 La 0.0000 0.0000 0.0000 1
La2 La 0.0000 0.0000 0.1767 1
Dy1 Dy 0.0000 0.0000 0.7555 1
Hg1 Hg 0.0000 0.0000 0.5879 1
```

Computed properties:
Energy of formation from the pure elements (eV per atom): -0.134
Magnetization (μB/cell): 0.00
V (Å³/f.u.): 132.2
Energy above the most stable polymorph in this dataset (meV per atom): 106

=====

(3)
The following is a DFT calculation (PBE-GGA) of a relaxed structure of NaBiTePOs.

Geometry as CIF:
```
data_NaBiTePOs
_space_group_name_H-M_alt 'P 1 m 1'
_space_group_IT_number 6
_space_group_name_Hall 'P -2y'
_cell_length_a 5.0586
_cell_length_b 3.9849
_cell_length_c 6.6137
_cell_angle_alpha 90.00
_cell_angle_beta 105.94
_cell_angle_gamma 90.00
loop_
_atom_site_label
_atom_site_type_symbol
_atom_site_fract_x
_atom_site_fract_y
_atom_site_fract_z
_atom_site_occupancy
Na1 Na 0.0000 0.0000 0.0000 1
Bi1 Bi 0.7079 0.0000 0.4193 1
Te1 Te 0.4786 0.5000 0.9309 1
P1 P 0.1483 0.5000 0.4778 1
Os1 Os 0.3136 0.0000 0.6285 1
```

Computed properties:
Magnetization (μB/cell): 0.00
V (Å³/f.u.): 128.2
ΔE_f (raw) (meV/atom): -13
Energy above the most stable polymorph in this dataset (meV per atom): 43

=====

(4)
The following is a DFT calculation (PBE-GGA) of a relaxed structure of Ba3NpTe6Au2.

Geometry as CIF:
```
data_Ba3NpTe6Au2
_space_group_name_H-M_alt 'P -3 m 1'
_space_group_IT_number 164
_space_group_name_Hall '-P 3 2"'
_cell_length_a 8.6109
_cell_length_b 8.6109
_cell_length_c 8.9510
_cell_angle_alpha 90.00
_cell_angle_beta 90.00
_cell_angle_gamma 120.00
loop_
_atom_site_label
_atom_site_type_symbol
_atom_site_fract_x
_atom_site_fract_y
_atom_site_fract_z
_atom_site_occupancy
Ba1 Ba 0.0000 0.0000 0.0000 1
Ba2 Ba 0.3333 0.6667 0.5999 1
Np1 Np 0.0000 0.0000 0.5000 1
Te1 Te 0.1567 0.3133 0.2883 1
Au1 Au 0.3333 0.6667 0.2443 1
```

Computed properties:
Magnetization (μB/cell): 2.95
V (Å³/f.u.): 574.8
ΔE_f (raw) (meV/atom): -774

=====

(5)
The following is a DFT calculation (PBE-GGA) of a relaxed structure of Al2Ir2Pb.

Geometry as CIF:
```
data_Al2Ir2Pb
_space_group_name_H-M_alt 'P 4/m b m'
_space_group_IT_number 127
_space_group_name_Hall '-P 4 2ab'
_cell_length_a 7.6015
_cell_length_b 7.6015
_cell_length_c 2.9181
_cell_angle_alpha 90.00
_cell_angle_beta 90.00
_cell_angle_gamma 90.00
loop_
_atom_site_label
_atom_site_type_symbol
_atom_site_fract_x
_atom_site_fract_y
_atom_site_fract_z
_atom_site_occupancy
Al1 Al 0.1404 0.3596 0.0000 1
Ir1 Ir 0.1486 0.6486 0.5000 1
Pb1 Pb 0.0000 0.0000 0.5000 1
```

Computed properties:
Energy of formation from the pure elements (eV per atom): -0.394
Magnetization (μB/cell): 0.00
V (Å³/f.u.): 84.3
Energy above the most stable polymorph in this dataset (meV per atom): 0

=====

(6)
The following is a DFT calculation (PBE-GGA) of a relaxed structure of Sm4BiSeS2.

Geometry as CIF:
```
data_Sm4BiSeS2
_space_group_name_H-M_alt 'P 1 2/m 1'
_space_group_IT_number 10
_space_group_name_Hall '-P 2y'
_cell_length_a 7.2113
_cell_length_b 4.1628
_cell_length_c 7.3550
_cell_angle_alpha 90.00
_cell_angle_beta 109.03
_cell_angle_gamma 90.00
loop_
_atom_site_label
_atom_site_type_symbol
_atom_site_fract_x
_atom_site_fract_y
_atom_site_fract_z
_atom_site_occupancy
Sm1 Sm 0.2299 0.0000 0.2168 1
Sm2 Sm 0.2510 0.5000 0.7760 1
Bi1 Bi 0.5000 0.5000 0.5000 1
Se1 Se 0.0000 0.0000 0.5000 1
S1 S 0.0000 0.5000 0.0000 1
S2 S 0.5000 0.0000 0.0000 1
```

Computed properties:
Magnetization (μB/cell): 0.00
V (Å³/f.u.): 208.7
ΔE_f (raw) (meV/atom): -1658

=====

(7)
The following is a DFT calculation (PBE-GGA) of a relaxed structure of TlCoAu2.

Geometry as CIF:
```
data_TlCoAu2
_space_group_name_H-M_alt 'R -3 m'
_space_group_IT_number 166
_space_group_name_Hall '-R 3 2"'
_cell_length_a 3.0863
_cell_length_b 3.0863
_cell_length_c 27.9622
_cell_angle_alpha 90.00
_cell_angle_beta 90.00
_cell_angle_gamma 120.00
loop_
_atom_site_label
_atom_site_type_symbol
_atom_site_fract_x
_atom_site_fract_y
_atom_site_fract_z
_atom_site_occupancy
Tl1 Tl 0.0000 0.0000 0.0000 1
Co1 Co 0.0000 0.0000 0.5000 1
Au1 Au 0.0000 0.0000 0.2369 1
```

Computed properties:
Energy of formation from the pure elements (eV per atom): 0.382
Magnetization (μB/cell): 5.48
V (Å³/f.u.): 76.9
Energy above the most stable polymorph in this dataset (meV per atom): 134

=====

(8)
The following is a DFT calculation (PBE-GGA) of a relaxed structure of MoAsAu2.

Geometry as CIF:
```
data_MoAsAu2
_space_group_name_H-M_alt 'P 4/m m m'
_space_group_IT_number 123
_space_group_name_Hall '-P 4 2'
_cell_length_a 2.8322
_cell_length_b 2.8322
_cell_length_c 8.8074
_cell_angle_alpha 90.00
_cell_angle_beta 90.00
_cell_angle_gamma 90.00
loop_
_atom_site_label
_atom_site_type_symbol
_atom_site_fract_x
_atom_site_fract_y
_atom_site_fract_z
_atom_site_occupancy
Mo1 Mo 0.0000 0.0000 0.0000 1
As1 As 0.0000 0.0000 0.5000 1
Au1 Au 0.5000 0.5000 0.2353 1
```

Computed properties:
Energy of formation from the pure elements (eV per atom): 0.234
Magnetization (μB/cell): 0.00
V (Å³/f.u.): 70.6